Sr2YRe (PBE, relaxed); E_form = 1.9 eV per formula unit; excess energy over the best structure of this formula in the dataset = 0.0 meV/atom; magnetic moment = 0.00 μB per formula unit; SG = Pmm2 (25); electronic total energy = -5.08 eV per atom; DOS at the Fermi energy = 1.252 states/eV/atom; crystal system = orthorhombic
1.0
-0.513 -2.585 -2.657
3.686 -0.466 -0.258
3.299 -7.237 6.404
Sr Re Y
2 1 1
direct
0.500 0.209 0.291
0.000 0.075 0.925
0.500 0.794 0.706
0.000 0.423 0.577

***

SrY2Re (PBE, relaxed); E_form = 1.7 eV per formula unit; excess energy over the best structure of this formula in the dataset = 247.2 meV/atom; magnetic moment = 0.07 μB per formula unit; SG = R-3m (166); electronic total energy = -6.33 eV per atom; DOS at the Fermi energy = 1.202 states/eV/atom; crystal system = trigonal
1.0
-4.711 -9.194 -3.285
-3.226 -10.349 -0.077
-6.534 -8.649 -0.090
Re Y Sr
1 2 1
direct
0.250 0.250 0.250
0.524 0.524 0.524
0.976 0.976 0.976
0.750 0.750 0.750

***

SrY2Re (PBE, relaxed); E_form = 2.0 eV per formula unit; excess energy over the best structure of this formula in the dataset = 314.8 meV/atom; magnetic moment = 0.00 μB per formula unit; SG = Fm-3m (225); electronic total energy = -6.26 eV per atom; DOS at the Fermi energy = 1.182 states/eV/atom; crystal system = cubic
1.0
3.736 -1.139 3.503
0.895 3.240 4.028
-1.321 -1.441 4.869
Y Re Sr
2 1 1
direct
0.750 0.750 0.750
0.250 0.250 0.250
0.500 0.500 0.500
0.000 0.000 0.000

***

Sr2Y2Re (PBE, relaxed); E_form = 5.3 eV per formula unit; excess energy over the best structure of this formula in the dataset = 530.6 meV/atom; magnetic moment = 1.86 μB per formula unit; SG = P4/mbm (127); electronic total energy = -4.69 eV per atom; DOS at the Fermi energy = 1.250 states/eV/atom; crystal system = tetragonal
1.0
-5.911 1.438 4.579
-0.983 -7.473 1.078
3.437 0.180 4.381
Re Sr Y
2 4 4
direct
0.500 0.500 0.000
0.000 0.000 0.000
0.353 0.853 0.000
0.853 0.647 0.000
0.147 0.353 0.000
0.647 0.147 0.000
0.182 0.682 0.500
0.682 0.818 0.500
0.818 0.318 0.500
0.318 0.182 0.500

***

SrY2Re (PBE, relaxed); E_form = 1.6 eV per formula unit; excess energy over the best structure of this formula in the dataset = 219.9 meV/atom; magnetic moment = 0.00 μB per formula unit; SG = C2/m (12); electronic total energy = -6.36 eV per atom; DOS at the Fermi energy = 1.011 states/eV/atom; crystal system = monoclinic
1.0
4.301 -0.011 -0.002
2.821 3.247 -0.002
0.981 0.446 9.416
Y Sr Re
2 1 1
direct
0.474 0.474 0.587
0.026 0.026 0.913
0.250 0.250 0.250
0.750 0.750 0.750

***

Sr2YRe (PBE, relaxed); E_form = 3.5 eV per formula unit; excess energy over the best structure of this formula in the dataset = 390.0 meV/atom; magnetic moment = 0.15 μB per formula unit; SG = I-42d (122); electronic total energy = -4.69 eV per atom; DOS at the Fermi energy = 0.729 states/eV/atom; crystal system = tetragonal
1.0
-10.060 1.976 4.538
-1.503 -11.013 1.464
-4.674 -4.353 5.383
Sr Re Y
4 2 2
direct
0.977 0.625 0.250
0.375 0.227 0.750
0.773 0.125 0.250
0.875 0.023 0.750
0.000 0.000 0.000
0.750 0.250 0.500
0.500 0.500 0.000
0.250 0.750 0.500

***

Sr2YRe (PBE, relaxed); E_form = 2.5 eV per formula unit; excess energy over the best structure of this formula in the dataset = 147.3 meV/atom; magnetic moment = 0.00 μB per formula unit; SG = Imm2 (44); electronic total energy = -4.94 eV per atom; DOS at the Fermi energy = 1.049 states/eV/atom; crystal system = orthorhombic
1.0
7.082 -0.004 -0.002
3.591 6.104 0.002
-4.496 -4.521 3.083
Sr Re Y
2 1 1
direct
0.058 0.058 0.000
0.747 0.247 0.500
0.264 0.764 0.500
0.430 0.430 0.000

***

Sr2Y2Re (PBE, relaxed); E_form = 5.7 eV per formula unit; excess energy over the best structure of this formula in the dataset = 614.3 meV/atom; magnetic moment = 0.00 μB per formula unit; SG = I4/mmm (139); electronic total energy = -4.61 eV per atom; DOS at the Fermi energy = 1.294 states/eV/atom; crystal system = tetragonal
1.0
-1.432 -0.306 3.796
3.360 -2.010 1.105
5.114 7.002 4.674
Y Re Sr
2 1 2
direct
0.421 0.421 0.158
0.579 0.579 0.842
0.000 0.000 0.000
0.750 0.250 0.500
0.250 0.750 0.500

***

Sr2YRe (PBE, relaxed); E_form = 3.4 eV per formula unit; excess energy over the best structure of this formula in the dataset = 376.0 meV/atom; magnetic moment = 0.00 μB per formula unit; SG = P4/mmm (123); electronic total energy = -4.71 eV per atom; DOS at the Fermi energy = 1.103 states/eV/atom; crystal system = tetragonal
1.0
-1.403 -2.034 -4.699
4.327 0.630 -1.564
1.157 -4.243 1.491
Sr Y Re
2 1 1
direct
0.000 0.000 0.000
0.000 0.500 0.500
0.500 0.500 0.000
0.500 0.000 0.500

***

SrY2Re (PBE, relaxed); E_form = 1.7 eV per formula unit; excess energy over the best structure of this formula in the dataset = 225.9 meV/atom; magnetic moment = 0.00 μB per formula unit; SG = Cm (8); electronic total energy = -6.35 eV per atom; DOS at the Fermi energy = 0.719 states/eV/atom; crystal system = monoclinic
1.0
-1.064 -0.879 5.490
0.740 -4.083 3.851
5.178 0.779 4.177
Y Re Sr
2 1 1
direct
0.005 0.005 0.936
0.809 0.809 0.635
0.497 0.497 0.665
0.190 0.190 0.265

***

Sr4YRe (PBE, relaxed); E_form = 7.8 eV per formula unit; magnetic moment = 1.50 μB per formula unit; SG = F-43m (216); electronic total energy = -2.97 eV per atom; DOS at the Fermi energy = 1.757 states/eV/atom; crystal system = cubic
1.0
0.000 4.848 4.848
4.848 0.000 4.848
4.848 4.848 0.000
Re Sr Y
1 4 1
direct
0.000 0.000 0.000
0.374 0.878 0.374
0.878 0.374 0.374
0.374 0.374 0.878
0.374 0.374 0.374
0.750 0.750 0.750

***

SrY2Re (PBE, relaxed); E_form = 2.7 eV per formula unit; excess energy over the best structure of this formula in the dataset = 489.8 meV/atom; magnetic moment = 0.00 μB per formula unit; SG = I-4m2 (119); electronic total energy = -6.09 eV per atom; DOS at the Fermi energy = 0.968 states/eV/atom; crystal system = tetragonal
1.0
5.678 -0.052 0.000
1.644 5.434 0.000
-3.661 -2.691 3.405
Y Re Sr
2 1 1
direct
0.250 0.750 0.500
0.000 0.000 0.000
0.500 0.500 0.000
0.750 0.250 0.500